a:
{"formula": "MgSnS3", "functional": "PBE-GGA", "state": "relaxed", "cell": [[4.8254, 0.0000, 0.0000], [0.0000, 4.8254, 0.0000], [0.0000, 0.0000, 4.8254]], "species": ["S", "S", "S", "Mg", "Sn"], "fractional_positions": [[0.0000, 0.0000, 0.5000], [0.0000, 0.5000, 0.0000], [0.5000, 0.0000, 0.0000], [0.0000, 0.0000, 0.0000], [0.5000, 0.5000, 0.5000]]}

***

b:
{"formula": "MgSnS3", "functional": "PBE-GGA", "state": "relaxed", "cell": [[-2.2142, -6.0687, -0.7208], [2.2162, 3.2845, -5.1528], [7.5564, -2.9218, 1.3876]], "species": ["S", "S", "S", "S", "S", "S", "Sn", "Sn", "Mg", "Mg"], "fractional_positions": [[0.3618, 0.3618, 0.6974], [0.3618, 0.0000, 0.3026], [0.6382, 0.0000, 0.6974], [0.6382, 0.6382, 0.3026], [0.0000, 0.3618, 0.3026], [0.0000, 0.6382, 0.6974], [0.0000, 0.0000, 0.6967], [0.0000, 0.0000, 0.3033], [0.3333, 0.6667, 0.5000], [0.6667, 0.3333, 0.5000]]}

***

c:
{"formula": "MgSnS3", "functional": "PBE-GGA", "state": "relaxed", "cell": [[6.3455, 0.0000, 0.0000], [0.0000, 6.3094, 0.0000], [0.0000, -3.1547, 5.4641]], "species": ["S", "S", "S", "S", "S", "S", "Mg", "Mg", "Sn", "Sn"], "fractional_positions": [[0.2500, 0.6721, 0.6736], [0.7500, 0.6721, 0.9986], [0.7500, 0.0014, 0.6736], [0.7500, 0.3264, 0.3279], [0.2500, 0.0014, 0.3279], [0.2500, 0.3264, 0.9986], [0.5000, 0.6667, 0.3333], [0.0000, 0.6667, 0.3333], [0.5000, 0.0000, 0.0000], [0.0000, 0.0000, 0.0000]]}

***

Most stable pick: c. Distance to second place: 0.039 eV/atom.

***

a:
{"formula": "Sr2MgS2", "functional": "PBE-GGA", "state": "relaxed", "cell": [[-4.8525, 3.2744, -5.4615], [-0.1934, -6.9391, -3.9884], [-3.1457, -1.1295, 2.1177]], "species": ["S", "S", "S", "S", "Mg", "Mg", "Sr", "Sr", "Sr", "Sr"], "fractional_positions": [[0.8455, 0.6545, 0.0000], [0.6545, 0.1545, 0.0000], [0.3455, 0.8455, 0.0000], [0.1545, 0.3455, 0.0000], [0.5000, 0.5000, 0.0000], [0.0000, 0.0000, 0.0000], [0.1546, 0.6546, 0.5000], [0.8454, 0.3454, 0.5000], [0.6546, 0.8454, 0.5000], [0.3454, 0.1546, 0.5000]]}

***

b:
{"formula": "Sr2MgS2", "functional": "PBE-GGA", "state": "relaxed", "cell": [[-0.3042, -5.8804, -0.3737], [3.4925, 0.1214, -4.7538], [5.9264, -3.3052, 0.6081]], "species": ["S", "S", "Sr", "Sr", "Mg"], "fractional_positions": [[0.2280, 0.2280, 0.5439], [0.7720, 0.7720, 0.4561], [0.2500, 0.7500, 0.5000], [0.7500, 0.2500, 0.5000], [0.0000, 0.0000, 0.0000]]}

***

Most stable pick: a. Distance to second place: 0.231 eV/atom.

***

a:
{"formula": "Sr2MgS", "functional": "PBE-GGA", "state": "relaxed", "cell": [[-3.3749, 7.7702, -1.2199], [-6.9942, -2.3576, 4.3334], [-3.4325, 4.0238, 5.1014]], "species": ["S", "S", "Mg", "Mg", "Sr", "Sr", "Sr", "Sr"], "fractional_positions": [[0.7500, 0.2500, 0.5000], [0.0000, 0.0000, 0.0000], [0.5000, 0.5000, 0.0000], [0.2500, 0.7500, 0.5000], [0.0617, 0.6250, 0.2500], [0.3750, 0.3117, 0.7500], [0.6883, 0.1250, 0.2500], [0.8750, 0.9383, 0.7500]]}

***

b:
{"formula": "Sr2MgS", "functional": "PBE-GGA", "state": "relaxed", "cell": [[0.0000, 3.9882, 3.9882], [3.9882, 0.0000, 3.9882], [3.9882, 3.9882, 0.0000]], "species": ["Sr", "Sr", "Mg", "S"], "fractional_positions": [[0.7500, 0.7500, 0.7500], [0.2500, 0.2500, 0.2500], [0.0000, 0.0000, 0.0000], [0.5000, 0.5000, 0.5000]]}

***

Most stable pick: a. Distance to second place: 0.278 eV/atom.

***

a:
{"formula": "SrMgW2S", "functional": "PBE-GGA", "state": "relaxed", "cell": [[-1.3441, 3.6268, -2.9280], [-4.8281, -1.1877, 0.7452], [-0.1541, 3.0111, 3.8004]], "species": ["Mg", "Sr", "W", "W", "S"], "fractional_positions": [[0.0000, 0.0000, 0.0000], [0.5000, 0.5000, 0.5000], [0.0000, 0.0000, 0.5000], [0.5000, 0.0000, 0.0000], [0.0000, 0.5000, 0.0000]]}

***

b:
{"formula": "SrMgW2S", "functional": "PBE-GGA", "state": "relaxed", "cell": [[-4.6480, 0.3518, 1.4852], [-1.5632, -3.1852, -4.1378], [0.6008, -3.9544, 2.8170]], "species": ["W", "W", "Mg", "S", "Sr"], "fractional_positions": [[0.0000, 0.0000, 0.5000], [0.5000, 0.0000, 0.0000], [0.0000, 0.5000, 0.0000], [0.5000, 0.5000, 0.5000], [0.0000, 0.0000, 0.0000]]}

***

Most stable pick: a. Distance to second place: 1.321 eV/atom.

***

a:
{"formula": "Tb2MgS4", "functional": "PBE-GGA", "state": "relaxed", "cell": [[-6.6628, -1.8404, -3.8925], [-0.1674, -6.2996, -4.8185], [-4.1371, -6.4515, 2.0481]], "species": ["Mg", "Mg", "S", "S", "S", "S", "S", "S", "S", "S", "Tb", "Tb", "Tb", "Tb"], "fractional_positions": [[0.7500, 0.7500, 0.7500], [0.5000, 0.5000, 0.5000], [0.3618, 0.8794, 0.8794], [0.8882, 0.3706, 0.3706], [0.8794, 0.8794, 0.8794], [0.8794, 0.3618, 0.8794], [0.3706, 0.3706, 0.3706], [0.8794, 0.8794, 0.3618], [0.3706, 0.8882, 0.3706], [0.3706, 0.3706, 0.8882], [0.6250, 0.1250, 0.1250], [0.1250, 0.1250, 0.1250], [0.1250, 0.6250, 0.1250], [0.1250, 0.1250, 0.6250]]}

***

b:
{"formula": "Tb2MgS4", "functional": "PBE-GGA", "state": "relaxed", "cell": [[7.3666, -0.1347, -0.0337], [-0.1570, 8.7937, 0.0567], [-1.3073, -2.1249, 11.5144]], "species": ["Tb", "Tb", "Tb", "Tb", "Tb", "Tb", "Tb", "Tb", "S", "S", "S", "S", "S", "S", "S", "S", "S", "S", "S", "S", "S", "S", "S", "S", "Mg", "Mg", "Mg", "Mg"], "fractional_positions": [[0.2504, 0.8773, 0.0052], [0.7496, 0.1227, 0.9948], [0.1367, 0.7054, 0.3461], [0.3583, 0.0235, 0.6435], [0.3716, 0.5582, 0.6726], [0.6284, 0.4418, 0.3274], [0.6417, 0.9765, 0.3565], [0.8633, 0.2946, 0.6539], [0.4138, 0.0444, 0.8655], [0.0986, 0.6488, 0.1186], [0.8865, 0.8347, 0.8984], [0.5862, 0.9556, 0.1345], [0.7882, 0.7139, 0.3593], [0.2118, 0.2861, 0.6407], [0.8487, 0.2365, 0.4005], [0.1135, 0.1653, 0.1016], [0.3015, 0.4571, 0.3962], [0.9014, 0.3512, 0.8814], [0.7077, 0.0069, 0.6070], [0.6985, 0.5429, 0.6038], [0.1513, 0.7635, 0.5995], [0.5926, 0.3963, 0.1006], [0.2923, 0.9931, 0.3930], [0.4074, 0.6037, 0.8994], [0.8632, 0.7928, 0.6905], [0.2394, 0.4089, 0.0145], [0.1368, 0.2072, 0.3095], [0.7606, 0.5911, 0.9855]]}

***

c:
{"formula": "Tb2MgS4", "functional": "PBE-GGA", "state": "relaxed", "cell": [[-2.0159, 4.9945, 4.7941], [1.5463, -6.0033, 3.6826], [5.7525, 2.2398, -3.7262]], "species": ["S", "S", "S", "S", "S", "S", "S", "S", "Mg", "Mg", "Tb", "Tb", "Tb", "Tb"], "fractional_positions": [[0.9952, 0.3651, 0.2361], [0.2408, 0.0048, 0.3699], [0.1290, 0.7592, 0.7639], [0.7548, 0.4908, 0.8699], [0.1151, 0.2452, 0.7361], [0.6349, 0.8710, 0.6301], [0.6210, 0.8849, 0.1301], [0.5092, 0.3790, 0.2639], [0.0000, 0.0000, 0.0000], [0.7500, 0.2500, 0.5000], [0.2404, 0.6250, 0.1154], [0.3750, 0.4904, 0.6154], [0.8750, 0.7596, 0.3846], [0.5096, 0.1250, 0.8846]]}

***

d:
{"formula": "Tb2MgS4", "functional": "PBE-GGA", "state": "relaxed", "cell": [[-2.8384, -5.6604, 1.7027], [7.0634, -3.6316, -0.2984], [2.0474, 2.9076, 13.0791]], "species": ["Mg", "Mg", "Mg", "Mg", "S", "S", "S", "S", "S", "S", "S", "S", "S", "S", "S", "S", "S", "S", "S", "S", "Tb", "Tb", "Tb", "Tb", "Tb", "Tb", "Tb", "Tb"], "fractional_positions": [[0.9197, 0.2500, 0.0962], [0.4197, 0.7500, 0.4038], [0.5803, 0.2500, 0.5962], [0.0803, 0.7500, 0.9038], [0.2365, 0.5107, 0.3295], [0.7635, 0.0107, 0.6705], [0.7140, 0.7500, 0.9095], [0.2365, 0.9893, 0.3295], [0.2860, 0.2500, 0.0905], [0.7365, 0.4893, 0.1705], [0.2557, 0.7500, 0.5689], [0.7860, 0.7500, 0.4095], [0.2635, 0.9893, 0.8295], [0.7443, 0.2500, 0.4311], [0.7557, 0.2500, 0.9311], [0.7365, 0.0107, 0.1705], [0.7635, 0.4893, 0.6705], [0.2140, 0.2500, 0.5905], [0.2635, 0.5107, 0.8295], [0.2443, 0.7500, 0.0689], [0.0000, 0.0000, 0.5000], [0.0078, 0.2500, 0.7690], [0.0000, 0.5000, 0.5000], [0.5000, 0.0000, 0.0000], [0.4922, 0.2500, 0.2690], [0.5000, 0.5000, 0.0000], [0.9922, 0.7500, 0.2310], [0.5078, 0.7500, 0.7310]]}

***

Most stable pick: a. Distance to second place: 0.008 eV/atom.

***

a:
{"formula": "Tb2MgS4", "functional": "PBE-GGA", "state": "relaxed", "cell": [[3.8714, 0.0000, 0.0000], [0.0000, 12.6716, 0.0000], [0.0000, 0.0000, 13.5339]], "species": ["S", "S", "S", "S", "S", "S", "S", "S", "S", "S", "S", "S", "S", "S", "S", "S", "Tb", "Tb", "Tb", "Tb", "Tb", "Tb", "Tb", "Tb", "Mg", "Mg", "Mg", "Mg"], "fractional_positions": [[0.2500, 0.0265, 0.8841], [0.2500, 0.7280, 0.2530], [0.7500, 0.7720, 0.7530], [0.2500, 0.4944, 0.1160], [0.2500, 0.9944, 0.3840], [0.7500, 0.7638, 0.4839], [0.7500, 0.4735, 0.3841], [0.2500, 0.5265, 0.6159], [0.2500, 0.7362, 0.9839], [0.7500, 0.2720, 0.7470], [0.7500, 0.5056, 0.8840], [0.2500, 0.2362, 0.5161], [0.7500, 0.9735, 0.1159], [0.7500, 0.2638, 0.0161], [0.2500, 0.2280, 0.2470], [0.7500, 0.0056, 0.6160], [0.7500, 0.8641, 0.2945], [0.2500, 0.1187, 0.0753], [0.2500, 0.1359, 0.7055], [0.7500, 0.3813, 0.5753], [0.7500, 0.3641, 0.2055], [0.2500, 0.6359, 0.7945], [0.7500, 0.8813, 0.9247], [0.2500, 0.6187, 0.4247], [0.7500, 0.1104, 0.4565], [0.2500, 0.3896, 0.9565], [0.2500, 0.8896, 0.5435], [0.7500, 0.6104, 0.0435]]}

***

b:
{"formula": "Tb2MgS4", "functional": "PBE-GGA", "state": "relaxed", "cell": [[6.5547, -0.0015, 0.0000], [-5.4478, 3.6449, 0.0000], [0.0000, 0.0000, 12.9160]], "species": ["S", "S", "S", "S", "S", "S", "S", "S", "Tb", "Tb", "Tb", "Tb", "Mg", "Mg"], "fractional_positions": [[0.2400, 0.7600, 0.3958], [0.0364, 0.9636, 0.7684], [0.9636, 0.0364, 0.2684], [0.2094, 0.7906, 0.1354], [0.7906, 0.2094, 0.6354], [0.7600, 0.2400, 0.8958], [0.4865, 0.5135, 0.9943], [0.5135, 0.4865, 0.4943], [0.1385, 0.8615, 0.5827], [0.8615, 0.1385, 0.0827], [0.6189, 0.3811, 0.2853], [0.3811, 0.6189, 0.7853], [0.1251, 0.8749, 0.9462], [0.8749, 0.1251, 0.4462]]}

***

Most stable pick: b. Distance to second place: 0.051 eV/atom.

***

a:
{"formula": "MgTc3S", "functional": "PBE-GGA", "state": "relaxed", "cell": [[4.3825, 0.0000, 0.0000], [0.0000, 4.3825, 0.0000], [0.0000, 0.0000, 4.3825]], "species": ["Tc", "Tc", "Tc", "S", "Mg"], "fractional_positions": [[0.0000, 0.5000, 0.0000], [0.5000, 0.0000, 0.0000], [0.0000, 0.0000, 0.5000], [0.0000, 0.0000, 0.0000], [0.5000, 0.5000, 0.5000]]}

***

b:
{"formula": "MgTc3S", "functional": "PBE-GGA", "state": "relaxed", "cell": [[-4.1610, 1.1824, 1.4352], [-1.2204, -4.3905, 0.0789], [1.4031, -0.3123, 4.3250]], "species": ["Tc", "Tc", "Tc", "S", "Mg"], "fractional_positions": [[0.5000, 0.0000, 0.0000], [0.0000, 0.0000, 0.5000], [0.0000, 0.5000, 0.0000], [0.5000, 0.5000, 0.5000], [0.0000, 0.0000, 0.0000]]}

***

Most stable pick: a. Distance to second place: 2.011 eV/atom.

***

a:
{"formula": "Mg2Ti2S", "functional": "PBE-GGA", "state": "relaxed", "cell": [[3.5505, 0.0000, 0.0000], [0.0000, 3.5505, 0.0000], [1.7753, 1.7753, 7.5220]], "species": ["Ti", "Ti", "Mg", "Mg", "S"], "fractional_positions": [[0.5835, 0.5835, 0.8329], [0.4165, 0.4165, 0.1671], [0.7500, 0.2500, 0.5000], [0.2500, 0.7500, 0.5000], [0.0000, 0.0000, 0.0000]]}

***

b:
{"formula": "Mg2Ti2S", "functional": "PBE-GGA", "state": "relaxed", "cell": [[6.2542, 0.0000, 0.0000], [0.0000, 6.2542, 0.0000], [0.0000, 0.0000, 4.8983]], "species": ["S", "S", "Mg", "Mg", "Mg", "Mg", "Ti", "Ti", "Ti", "Ti"], "fractional_positions": [[0.0000, 0.0000, 0.0000], [0.5000, 0.5000, 0.0000], [0.1558, 0.6558, 0.5000], [0.6558, 0.8442, 0.5000], [0.8442, 0.3442, 0.5000], [0.3442, 0.1558, 0.5000], [0.1581, 0.3419, 0.0000], [0.6581, 0.1581, 0.0000], [0.8419, 0.6581, 0.0000], [0.3419, 0.8419, 0.0000]]}

***

Most stable pick: b. Distance to second place: 0.612 eV/atom.